No. 1
DFT (PBE) results for Cs3LiTh3Te8 after structural relaxation.

Output
The total energy is -4.64 eV/atom. The magnetization comes out at 0.0 μB/f.u.

Unit cell a=9.2053 b=9.2053 c=27.1269 alpha=90.00 beta=90.00 gamma=120.00
Space group R-3m (No. 166, hexagonal axes)
Asymmetric unit:
Cs  0.0000  0.5000  0.0000 [9 per cell]
Li  0.0000  0.0000  0.5000 [3 per cell]
Th  0.0000  0.5000  0.5000 [9 per cell]
Te  0.0000  0.0000  0.2326 [6 per cell]
Te  0.0080  0.5040  0.7711 [18 per cell]


No. 2
DFT (PBE) results for Cs4LiTh3Te8 after structural relaxation.

Output
The total energy is -4.48 eV/atom. The density of states at the Fermi level comes out at 19.4 states/eV per cell. The magnetization comes out at 0.0 μB/f.u.

Unit cell a=9.2694 b=9.2694 c=26.7704 alpha=90.00 beta=90.00 gamma=120.00
Space group R-3m (No. 166, hexagonal axes)
Asymmetric unit:
Cs  0.0000  0.0000  0.0000 [3 per cell]
Cs  0.0000  0.5000  0.0000 [9 per cell]
Li  0.0000  0.0000  0.5000 [3 per cell]
Th  0.0000  0.5000  0.5000 [9 per cell]
Te  0.0000  0.0000  0.2326 [6 per cell]
Te  0.0043  0.5021  0.7699 [18 per cell]


No. 3
DFT (PBE) results for Cs2LiTiTe4 after structural relaxation.

Output
The total energy is -3.86 eV/atom. The density of states at the Fermi level comes out at 53.6 states/eV per cell. The magnetization comes out at 0.0 μB/f.u.

Unit cell a=6.550 b=15.524 c=26.355 alpha=90.00 beta=90.00 gamma=90.00
Space group Fddd (No. 70, origin choice 2)
Asymmetric unit:
Cs  0.125  0.125  0.304 [16 per cell]
Li  0.125  0.125  0.125 [8 per cell]
Ti  0.125  0.125  0.625 [8 per cell]
Te  0.105  0.276  0.819 [32 per cell]


No. 4
DFT (PBE) results for CsLiTiTe3 after structural relaxation.

Output
The total energy is -4.21 eV/atom. The density of states at the Fermi level comes out at 0.5 states/eV per cell. The magnetization comes out at 0.0 μB/f.u.

Unit cell a=7.835 b=14.197 c=7.610 alpha=90.00 beta=90.00 gamma=90.00
Space group Cmcm (No. 63)
Asymmetric unit:
Cs  0.000  0.250  0.250 [4 per cell]
Li  0.000  0.069  0.750 [4 per cell]
Ti  0.000  0.443  0.750 [4 per cell]
Te  0.000  0.264  0.750 [4 per cell]
Te  0.237  0.500  0.000 [8 per cell]


No. 5
DFT (PBE) results for Cs2LiTlTe2 after structural relaxation.

Output
The total energy is -2.90 eV/atom. The magnetization comes out at 0.0 μB/f.u.

Unit cell a=7.808 b=16.905 c=7.513 alpha=90.00 beta=90.00 gamma=90.00
Space group Ibam (No. 72)
Asymmetric unit:
Cs  0.242  0.168  0.000 [8 per cell]
Li  0.000  0.500  0.250 [4 per cell]
Tl  0.000  0.000  0.250 [4 per cell]
Te  0.207  0.401  0.000 [8 per cell]


No. 6
DFT (PBE) results for CsLiTlTe2 after structural relaxation.

Output
The total energy is -2.87 eV/atom. The density of states at the Fermi level comes out at 12.7 states/eV per cell. The magnetization comes out at 0.0 μB/f.u.

Unit cell a=6.537 b=16.172 c=7.355 alpha=90.00 beta=90.00 gamma=90.00
Space group Cmme (No. 67)
Asymmetric unit:
Cs  0.000  0.250  0.224 [4 per cell]
Li  0.250  0.000  0.500 [4 per cell]
Tl  0.000  0.000  0.000 [4 per cell]
Te  0.000  0.119  0.697 [8 per cell]


No. 7
DFT (PBE) results for CsLiTlTe after structural relaxation.

Output
The total energy is -2.73 eV/atom. The density of states at the Fermi level comes out at 7.3 states/eV per cell. The magnetization comes out at 0.0 μB/f.u.

Unit cell a=4.665 b=4.665 c=15.155 alpha=90.00 beta=90.00 gamma=90.00
Space group P4/nmm (No. 129, origin choice 2)
Asymmetric unit:
Cs  0.250  0.250  0.223 [2 per cell]
Li  0.250  0.750  0.000 [2 per cell]
Tl  0.250  0.750  0.500 [2 per cell]
Te  0.250  0.250  0.895 [2 per cell]


No. 8
DFT (PBE) results for CsLiTmTe2 after structural relaxation.

Output
The total energy is -3.65 eV/atom. The density of states at the Fermi level comes out at 10.8 states/eV per cell. The magnetization comes out at 0.9 μB/f.u.

Unit cell a=6.923 b=16.356 c=6.893 alpha=90.00 beta=90.00 gamma=90.00
Space group Cmme (No. 67)
Asymmetric unit:
Cs  0.000  0.250  0.238 [4 per cell]
Li  0.000  0.000  0.000 [4 per cell]
Tm  0.250  0.000  0.500 [4 per cell]
Te  0.000  0.114  0.728 [8 per cell]